{
  "formula": "NdDy6Er2",
  "functional": "GGA-PBE",
  "state": "relaxed",
  "vol_a3_per_atom": 32.876,
  "e_above_lowest_polymorph_mev_per_atom": 331,
  "dft_energy_ha_per_atom": -0.1566,
  "formation_enthalpy_0k_ev_per_fu": 3.15,
  "lattice_angstrom": [[3.664, 2.115, 6.362], [-3.664, 2.115, 6.362], [0.000, -4.231, 6.362]],
  "species": ["Nd", "Dy", "Dy", "Dy", "Dy", "Dy", "Dy", "Er", "Er"],
  "frac_coords": [[0.000, 0.000, 0.000], [0.056, 0.056, 0.535], [0.056, 0.535, 0.056], [0.270, 0.270, 0.703], [0.270, 0.703, 0.270], [0.535, 0.056, 0.056], [0.703, 0.270, 0.270], [0.561, 0.561, 0.561], [0.737, 0.737, 0.737]]
}